(1)
DFT (PBE-GGA) results for a relaxed structure of KCr2Ir.

Output
Calculated density in g/cm3: 8.454
Symmetry: Cmmm (65)
M_tot in μB per atom: 0.00
Distance to the lowest polymorph of the same formula in meV per atom: 471
Calculated total energy in eV/atom: -6.256
Energy of formation from the pure elements in eV/atom: 1.0454

Cell lengths 2.666, 2.666, 10.319 Å; angles 90.00, 90.00, 116.07 degrees
Sites, in units of the cell vectors:
1 K 0.000 0.000 0.000
2 Cr 0.500 0.500 0.292
3 Cr 0.500 0.500 0.708
4 Ir 0.000 0.000 0.500



(2)
DFT (PBE-GGA) results for a relaxed structure of Zr2ScSb2.

Output
Calculated density in g/cm3: 6.764
Symmetry: P4/mbm (127)
M_tot in μB per atom: 0.00
Raw formation energy in eV per atom: -0.707
Distance to the lowest polymorph of the same formula in meV per atom: 0
Calculated total energy in eV/atom: -7.041

Cell lengths 7.777, 7.777, 3.823 Å; angles 90.00, 90.00, 90.00 degrees
Sites, in units of the cell vectors:
1 Zr 0.151 0.349 0.000
2 Zr 0.349 0.849 0.000
3 Zr 0.651 0.151 0.000
4 Zr 0.849 0.651 0.000
5 Sc 0.000 0.000 0.500
6 Sc 0.500 0.500 0.500
7 Sb 0.147 0.647 0.500
8 Sb 0.353 0.147 0.500
9 Sb 0.647 0.853 0.500
10 Sb 0.853 0.353 0.500



> Which of these has the highest calculated total energy?

KCr2Ir



Copy entry 2 word for word.
DFT (PBE-GGA) results for a relaxed structure of Zr2ScSb2.

Output
Calculated density in g/cm3: 6.764
Symmetry: P4/mbm (127)
M_tot in μB per atom: 0.00
Raw formation energy in eV per atom: -0.707
Distance to the lowest polymorph of the same formula in meV per atom: 0
Calculated total energy in eV/atom: -7.041

Cell lengths 7.777, 7.777, 3.823 Å; angles 90.00, 90.00, 90.00 degrees
Sites, in units of the cell vectors:
1 Zr 0.151 0.349 0.000
2 Zr 0.349 0.849 0.000
3 Zr 0.651 0.151 0.000
4 Zr 0.849 0.651 0.000
5 Sc 0.000 0.000 0.500
6 Sc 0.500 0.500 0.500
7 Sb 0.147 0.647 0.500
8 Sb 0.353 0.147 0.500
9 Sb 0.647 0.853 0.500
10 Sb 0.853 0.353 0.500